1.
Compound: PaAg2OsO8
Source: the Alexandria database
Functional: GGA-PBE
Structure: relaxed

Summary:
The value obtained for the formation energy from raw total energies is -1.36 eV/atom. For the total energy, the calculation gives -82.40 eV per formula unit. The magnetic moment is 0.000 μB per cell.

Cell: 5.1986 6.5324 5.1994 Å, 90.00 97.06 90.00°
With the nearest neighbours (Å) after each atom.
Space group P2/m (No. 10)
Inequivalent atoms, fractional coordinates:
Pa 0.0000 0.0000 0.0000 (multiplicity 1)  6 O 2.03-2.24
Ag 0.5000 0.2604 0.5000 (multiplicity 2)  4 O 2.21-2.22
Os 0.0000 0.5000 0.0000 (multiplicity 1)  6 O 1.86-1.91
O 0.1649 0.2821 0.8368 (multiplicity 4)  1 Os 1.91
O 0.2692 0.5000 0.2714 (multiplicity 2)  1 Os 1.86
O 0.2945 0.0000 0.2961 (multiplicity 2)  1 Pa 2.03, 2 Ag 2.21

2.
Compound: Ac2Al4Ag3Au
Source: the Alexandria database
Functional: GGA-PBE
Structure: relaxed

Summary:
For the total energy, the calculation gives -39.24 eV per formula unit. The energy of formation from the pure elements comes out at -422 meV per atom. The magnetic moment is 0.000 μB per cell.

Cell: 4.5670 4.5670 10.8373 Å, 90.00 90.00 90.00°
With the nearest neighbours (Å) after each atom.
Space group P-4m2 (No. 115)
Inequivalent atoms, fractional coordinates:
Ac 0.0000 0.5000 0.2468 (multiplicity 2)  8 Al 3.48-3.57, 6 Ag 3.50-3.52, 2 Au 3.52
Al 0.0000 0.0000 0.5000 (multiplicity 1)  4 Ag 2.68
Al 0.0000 0.5000 0.8738 (multiplicity 2)  3 Ag 2.65-2.66, 2 Au 2.66
Al 0.5000 0.5000 0.5000 (multiplicity 1)  4 Ag 2.68
Ag 0.0000 0.0000 0.0000 (multiplicity 1)  4 Al 2.66
Ag 0.0000 0.5000 0.6297 (multiplicity 2)  5 Al 2.65-2.68
Au 0.5000 0.5000 0.0000 (multiplicity 1)  4 Al 2.66

3.
Compound: Tm4Cd2Au
Source: the Alexandria database
Functional: GGA-PBE
Structure: relaxed

Summary:
For the total energy, the calculation gives -24.94 eV per formula unit. The energy of formation from the pure elements comes out at -278 meV per atom. The magnetic moment is 0.001 μB per cell.

Cell: 5.1087 5.1087 24.9241 Å, 90.00 90.00 120.00°
With the nearest neighbours (Å) after each atom.
Space group R-3m (No. 166, hexagonal axes)
Inequivalent atoms, fractional coordinates:
Tm 0.0000 0.0000 0.1240 (multiplicity 6)  4 Cd 3.07-3.10, 1 Au 3.09
Tm 0.0000 0.0000 0.3750 (multiplicity 6)  3 Au 3.13, 4 Cd 3.15-3.18
Cd 0.0000 0.0000 0.2472 (multiplicity 6)  8 Tm 3.07-3.18
Au 0.0000 0.0000 0.0000 (multiplicity 3)  8 Tm 3.09-3.13

4.
Compound: Ac2Pr3Pd2
Source: the Alexandria database
Functional: GGA-PBE
Structure: relaxed

Summary:
For the total energy, the calculation gives -36.11 eV per formula unit. The energy of formation from the pure elements comes out at -453 meV per atom. The magnetic moment is 0.000 μB per cell.

Cell: 12.7065 4.0326 9.5946 Å, 90.00 113.18 90.00°
With the nearest neighbours (Å) after each atom.
Space group C2/m (No. 12)
Inequivalent atoms, fractional coordinates:
Ac 0.1599 0.0000 0.3003 (multiplicity 4)  2 Pd 3.16
Pr 0.0000 0.5000 0.5000 (multiplicity 2)  4 Pd 3.05
Pr 0.1178 0.5000 0.9322 (multiplicity 4)  2 Pd 3.01
Pd 0.1565 0.0000 0.7242 (multiplicity 4)  4 Pr 3.01-3.05, 2 Ac 3.16

5.
Compound: Pr4Dy2Er2Tm
Source: the Alexandria database
Functional: GGA-PBE
Structure: relaxed

Summary:
For the total energy, the calculation gives -41.69 eV per formula unit. The energy of formation from the pure elements comes out at 26 meV per atom. The magnetic moment is 0.000 μB per cell.

Cell: 15.3294 5.1018 8.0478 Å, 90.00 108.52 90.00°
With the nearest neighbours (Å) after each atom.
Space group C2/m (No. 12)
Inequivalent atoms, fractional coordinates:
Pr 0.0536 0.0000 0.3301 (multiplicity 4)  2 Er 3.58-3.61, 2 Tm 3.58, 4 Dy 3.59-3.64, 4 Pr 3.61-3.64
Pr 0.2227 0.5000 0.3307 (multiplicity 4)  3 Er 3.57-3.59, 1 Tm 3.60, 3 Dy 3.60-3.66, 5 Pr 3.63-3.64
Dy 0.1115 0.5000 0.6712 (multiplicity 4)  3 Er 3.58, 1 Tm 3.58, 7 Pr 3.59-3.66, 1 Dy 3.65
Er 0.1671 0.0000 0.9996 (multiplicity 4)  5 Pr 3.57-3.61, 3 Dy 3.58, 2 Er 3.60, 2 Tm 3.62
Tm 0.0000 0.5000 0.0000 (multiplicity 2)  2 Dy 3.58, 6 Pr 3.58-3.60, 4 Er 3.62

6.
Compound: CaTiMo2
Source: the Alexandria database
Functional: GGA-PBE
Structure: relaxed

Summary:
The energy relative to the lowest polymorph listed for this composition comes out at 310 meV/atom. For the total energy, the calculation gives -27.23 eV per formula unit. The energy of formation from the pure elements comes out at 1081 meV per atom. The magnetic moment is 0.000 μB per cell.

Cell: 4.5344 4.5344 18.5029 Å, 90.00 90.00 90.00°
With the nearest neighbours (Å) after each atom.
Space group I-42d (No. 122)
Inequivalent atoms, fractional coordinates:
Ca 0.0000 0.0000 0.0000 (multiplicity 4)  4 Mo 3.17, 4 Ti 3.21
Ti 0.0000 0.0000 0.5000 (multiplicity 4)  4 Mo 2.61
Mo 0.0937 0.7500 0.6250 (multiplicity 8)  2 Mo 2.42, 2 Ti 2.61

7.
Compound: TmLu2Pa
Source: the Alexandria database
Functional: GGA-PBE
Structure: relaxed

Summary:
The energy relative to the lowest polymorph listed for this composition comes out at 149 meV/atom. For the total energy, the calculation gives -21.95 eV per formula unit. The energy of formation from the pure elements comes out at 264 meV per atom. The magnetic moment is 0.008 μB per cell.

Cell: 5.6412 5.6412 3.5579 Å, 90.00 90.00 90.00°
With the nearest neighbours (Å) after each atom.
Space group P4/mmm (No. 123)
Inequivalent atoms, fractional coordinates:
Tm 0.0000 0.0000 0.0000 (multiplicity 1)  8 Lu 3.33, 2 Tm 3.56
Lu 0.0000 0.5000 0.5000 (multiplicity 2)  4 Pa 3.33, 4 Tm 3.33, 2 Lu 3.56
Pa 0.5000 0.5000 0.0000 (multiplicity 1)  8 Lu 3.33, 2 Pa 3.56

8.
Compound: K2Cd12GaAg3
Source: the Alexandria database
Functional: GGA-PBE
Structure: relaxed

Summary:
For the total energy, the calculation gives -21.96 eV per formula unit. The energy of formation from the pure elements comes out at 156 meV per atom. The magnetic moment is 0.000 μB per cell.

Cell: 9.2563 9.2563 24.3305 Å, 90.00 90.00 120.00°
With the nearest neighbours (Å) after each atom.
Space group R-3m (No. 166, hexagonal axes)
Inequivalent atoms, fractional coordinates:
K 0.0000 0.0000 0.1195 (multiplicity 6)  6 Cd 3.70-3.81
Cd 0.0385 0.5193 0.1164 (multiplicity 18)  1 Ga 2.66, 1 Ag 2.85, 2 Cd 2.94
Cd 0.0929 0.5464 0.3945 (multiplicity 18)  2 Ag 2.81, 2 Cd 2.94
Ga 0.0000 0.0000 0.5000 (multiplicity 3)  6 Cd 2.66
Ag 0.0000 0.5000 0.0000 (multiplicity 9)  6 Cd 2.81-2.85

9.
Compound: TbThGaOs
Source: the Alexandria database
Functional: GGA-PBE
Structure: relaxed

Summary:
The energy relative to the lowest polymorph listed for this composition comes out at 0 meV/atom. For the total energy, the calculation gives -28.25 eV per formula unit. The energy of formation from the pure elements comes out at -486 meV per atom. The magnetic moment is 0.000 μB per cell.

Cell: 3.9639 4.1777 11.4199 Å, 90.00 90.00 90.00°
With the nearest neighbours (Å) after each atom.
Space group Amm2 (No. 38)
Inequivalent atoms, fractional coordinates:
Tb 0.0000 0.0000 0.0000 (multiplicity 2)  4 Ga 3.00, 1 Os 3.07
Th 0.5000 0.0000 0.2769 (multiplicity 2)  4 Os 2.93, 2 Ga 3.13
Ga 0.5000 0.0000 0.5732 (multiplicity 2)  2 Os 2.68, 4 Tb 3.00
Os 0.0000 0.0000 0.7309 (multiplicity 2)  2 Ga 2.68, 4 Th 2.93

10.
Compound: Pm5AuSe4
Source: the Alexandria database
Functional: GGA-PBE
Structure: relaxed

Summary:
The energy relative to the lowest polymorph listed for this composition comes out at 0 meV/atom. The value obtained for the formation energy from raw total energies is -1.65 eV/atom. For the total energy, the calculation gives -57.45 eV per formula unit. The magnetic moment is 0.000 μB per cell.

Cell: 9.4144 9.4144 5.9962 Å, 90.00 90.00 90.00°
With the nearest neighbours (Å) after each atom.
Space group I4/m (No. 87)
Inequivalent atoms, fractional coordinates:
Pm 0.0000 0.0000 0.0000 (multiplicity 2)  4 Se 2.99, 2 Au 3.00
Pm 0.1018 0.6986 0.5000 (multiplicity 8)  5 Se 2.94-3.00, 1 Au 2.99
Au 0.0000 0.0000 0.5000 (multiplicity 2)  6 Pm 2.99-3.00
Se 0.0987 0.6982 0.0000 (multiplicity 8)  6 Pm 2.94-3.00

11.
Compound: Li3Ac2ScBi4
Source: the Alexandria database
Functional: GGA-PBE
Structure: relaxed

Summary:
For the total energy, the calculation gives -41.88 eV per formula unit. The energy of formation from the pure elements comes out at -606 meV per atom. The magnetic moment is 0.653 μB per cell.

Cell: 4.8565 4.8565 11.8823 Å, 90.00 90.00 90.00°
With the nearest neighbours (Å) after each atom.
Space group P-4m2 (No. 115)
Inequivalent atoms, fractional coordinates:
Li 0.0000 0.0000 0.0000 (multiplicity 1)  4 Bi 3.02
Li 0.0000 0.5000 0.6190 (multiplicity 2)  5 Bi 2.73-2.81
Ac 0.0000 0.5000 0.2685 (multiplicity 2)  8 Bi 3.67-3.71, 6 Li 3.69-4.01, 2 Sc 4.01
Sc 0.5000 0.5000 0.0000 (multiplicity 1)  4 Bi 3.02
Bi 0.0000 0.0000 0.5000 (multiplicity 1)  4 Li 2.81
Bi 0.0000 0.5000 0.8487 (multiplicity 2)  3 Li 2.73-3.02, 2 Sc 3.02
Bi 0.5000 0.5000 0.5000 (multiplicity 1)  4 Li 2.81

12.
Compound: Ac3P3Pd2
Source: the Alexandria database
Functional: GGA-PBE
Structure: relaxed

Summary:
For the total energy, the calculation gives -47.72 eV per formula unit. The energy of formation from the pure elements comes out at -1098 meV per atom. The magnetic moment is 0.000 μB per cell.

Cell: 4.3353 11.3896 16.0200 Å, 90.00 90.00 90.00°
With the nearest neighbours (Å) after each atom.
Space group Cmcm (No. 63)
Inequivalent atoms, fractional coordinates:
Ac 0.0000 0.1060 0.2500 (multiplicity 4)  5 P 3.03-3.29, 4 Pd 3.15
Ac 0.0000 0.3834 0.0891 (multiplicity 8)  7 P 3.14-3.44, 4 Pd 3.21-3.40
P 0.0000 0.1107 0.0611 (multiplicity 8)  2 Pd 2.47
P 0.0000 0.1764 0.7500 (multiplicity 4)  2 Pd 2.69
Pd 0.0000 0.3211 0.6174 (multiplicity 8)  3 P 2.47-2.69